No. 1
A plane-wave DFT calculation with PBE-GGA was carried out for a relaxed structure of K2AgSbMo.

Formation energy (no corrections) = 988.1 meV per atom
Total magnetization = 1.178 μB/atom

Lattice parameters (Å, degrees): 6.740 6.740 5.200 90.00 90.00 90.00
Space group P4/mmm (No. 123)
Asymmetric unit:
K1 0.000 0.500 0.000 x2
Ag1 0.000 0.000 0.500 x1
Sb1 0.000 0.000 0.000 x1
Mo1 0.500 0.500 0.500 x1

***

No. 2
A plane-wave DFT calculation with PBE-GGA was carried out for a relaxed structure of KAg2SnMo.

Energy of formation = 6.84 eV per formula unit
Total magnetization = 0.785 μB/atom

Lattice parameters (Å, degrees): 5.328 5.328 5.796 90.00 90.00 90.00
Space group P4/mmm (No. 123)
Asymmetric unit:
K1 0.000 0.000 0.000 x1
Ag1 0.000 0.500 0.500 x2
Sn1 0.500 0.500 0.000 x1
Mo1 0.000 0.000 0.500 x1

***

No. 3
A plane-wave DFT calculation with PBE-GGA was carried out for a relaxed structure of KAgN2.

Formation energy (no corrections) = 1485.0 meV per atom
Total magnetization = 0.000 μB/atom
Offset from the most stable computed form = 1473 meV per atom

Lattice parameters (Å, degrees): 3.3701 3.3701 20.9079 90.00 90.00 120.00
Space group R-3m (No. 166, hexagonal axes)
Asymmetric unit:
K1 0.0000 0.0000 0.0000 x3
Ag1 0.0000 0.0000 0.5000 x3
N1 0.0000 0.0000 0.1206 x6

***

No. 4
A plane-wave DFT calculation with PBE-GGA was carried out for a relaxed structure of KAgN2.

Formation energy (no corrections) = 1417.8 meV per atom
Total magnetization = 0.000 μB/atom
Offset from the most stable computed form = 1405 meV per atom

Lattice parameters (Å, degrees): 6.346 6.346 7.062 90.00 90.00 90.00
Space group I-42d (No. 122)
Asymmetric unit:
K1 0.000 0.000 0.000 x4
Ag1 0.000 0.000 0.500 x4
N1 0.145 0.250 0.625 x8